Record 1
VASP calculation (PBE) on Cs3RbS after structural relaxation.

Computed properties:
**Final energy**: -1.191 eV per atom
**M_tot**: 0.0 μB per formula unit
**Uncorrected formation energy**: 0.340 eV per atom

a b c (Å): 7.8294 7.8294 7.8294
angles (deg): 90.00 90.00 90.00
With the nearest neighbours (Å) after each atom.
Positions (direct):
Cs  0.0000  0.0000  0.5000  2 Rb 3.91
Cs  0.0000  0.5000  0.0000  2 Rb 3.91
Cs  0.5000  0.0000  0.0000  2 Rb 3.91
Rb  0.0000  0.0000  0.0000  6 Cs 3.91
S  0.5000  0.5000  0.5000  12 Cs 5.54

Record 2
VASP calculation (PBE) on Cs3Rb12S5 after structural relaxation.

Computed properties:
**Final energy**: -2.278 eV per atom
**M_tot**: 0.0 μB per formula unit
**Uncorrected formation energy**: -0.538 eV per atom

a b c (Å): 19.1797 19.1797 19.1797
angles (deg): 109.47 109.47 109.47
With the nearest neighbours (Å) after each atom.
Positions (direct):
Cs  0.1250  0.2500  0.3750  8 Rb 4.68-4.82
Cs  0.1250  0.3750  0.7500  8 Rb 4.68-4.82
Cs  0.2500  0.3750  0.1250  8 Rb 4.68-4.82
Cs  0.2500  0.8750  0.6250  8 Rb 4.68-4.82
Cs  0.3750  0.1250  0.2500  8 Rb 4.68-4.82
Cs  0.3750  0.7500  0.1250  8 Rb 4.68-4.82
Cs  0.6250  0.2500  0.8750  8 Rb 4.68-4.82
Cs  0.6250  0.8750  0.7500  8 Rb 4.68-4.82
Cs  0.7500  0.1250  0.3750  8 Rb 4.68-4.82
Cs  0.7500  0.6250  0.8750  8 Rb 4.68-4.82
Cs  0.8750  0.6250  0.2500  8 Rb 4.68-4.82
Cs  0.8750  0.7500  0.6250  8 Rb 4.68-4.82
Rb  0.0109  0.6860  0.0981  2 S 3.14-3.33
Rb  0.0109  0.8249  0.9128  2 S 3.14-3.33
Rb  0.0872  0.5981  0.9121  2 S 3.14-3.33
Rb  0.0872  0.9891  0.1751  2 S 3.14-3.33
Rb  0.0879  0.6751  0.6860  2 S 3.14-3.33
Rb  0.0879  0.9128  0.4019  2 S 3.14-3.33
Rb  0.0981  0.0109  0.6860  2 S 3.14-3.33
Rb  0.0981  0.5872  0.4121  2 S 3.14-3.33
Rb  0.1751  0.0872  0.9891  2 S 3.14-3.33
Rb  0.1751  0.5879  0.1860  2 S 3.14-3.33
Rb  0.1860  0.1751  0.5879  2 S 3.14-3.33
Rb  0.1860  0.5109  0.5981  2 S 3.14-3.33
Rb  0.3140  0.9019  0.9891  2 S 3.14-3.33
Rb  0.3140  0.9121  0.3249  2 S 3.14-3.33
Rb  0.3249  0.3140  0.9121  2 S 3.14-3.33
Rb  0.3249  0.5109  0.4128  2 S 3.14-3.33
Rb  0.4019  0.0879  0.9128  2 S 3.14-3.33
Rb  0.4019  0.8140  0.4891  2 S 3.14-3.33
Rb  0.4121  0.0981  0.5872  2 S 3.14-3.33
Rb  0.4121  0.8140  0.8249  2 S 3.14-3.33
Rb  0.4128  0.3249  0.5109  2 S 3.14-3.33
Rb  0.4128  0.5879  0.9019  2 S 3.14-3.33
Rb  0.4891  0.4019  0.8140  2 S 3.14-3.33
Rb  0.4891  0.5872  0.6751  2 S 3.14-3.33
Rb  0.5109  0.4128  0.3249  2 S 3.14-3.33
Rb  0.5109  0.5981  0.1860  2 S 3.14-3.33
Rb  0.5872  0.4121  0.0981  2 S 3.14-3.33
Rb  0.5872  0.6751  0.4891  2 S 3.14-3.33
Rb  0.5879  0.1860  0.1751  2 S 3.14-3.33
Rb  0.5879  0.9019  0.4128  2 S 3.14-3.33
Rb  0.5981  0.1860  0.5109  2 S 3.14-3.33
Rb  0.5981  0.9121  0.0872  2 S 3.14-3.33
Rb  0.6751  0.4891  0.5872  2 S 3.14-3.33
Rb  0.6751  0.6860  0.0879  2 S 3.14-3.33
Rb  0.6860  0.0879  0.6751  2 S 3.14-3.33
Rb  0.6860  0.0981  0.0109  2 S 3.14-3.33
Rb  0.8140  0.4891  0.4019  2 S 3.14-3.33
Rb  0.8140  0.8249  0.4121  2 S 3.14-3.33
Rb  0.8249  0.4121  0.8140  2 S 3.14-3.33
Rb  0.8249  0.9128  0.0109  2 S 3.14-3.33
Rb  0.9019  0.4128  0.5879  2 S 3.14-3.33
Rb  0.9019  0.9891  0.3140  2 S 3.14-3.33
Rb  0.9121  0.0872  0.5981  2 S 3.14-3.33
Rb  0.9121  0.3249  0.3140  2 S 3.14-3.33
Rb  0.9128  0.0109  0.8249  2 S 3.14-3.33
Rb  0.9128  0.4019  0.0879  2 S 3.14-3.33
Rb  0.9891  0.1751  0.0872  2 S 3.14-3.33
Rb  0.9891  0.3140  0.9019  2 S 3.14-3.33
S  0.0000  0.0000  0.0000  6 Rb 3.33
S  0.0000  0.0000  0.5000  6 Rb 3.33
S  0.0000  0.5000  0.0000  6 Rb 3.33
S  0.0000  0.5000  0.5000  6 Rb 3.33
S  0.1250  0.7500  0.8750  4 Rb 3.14
S  0.1250  0.8750  0.2500  4 Rb 3.14
S  0.2500  0.1250  0.8750  4 Rb 3.14
S  0.2500  0.6250  0.3750  4 Rb 3.14
S  0.3750  0.2500  0.6250  4 Rb 3.14
S  0.3750  0.6250  0.7500  4 Rb 3.14
S  0.5000  0.0000  0.0000  6 Rb 3.33
S  0.5000  0.0000  0.5000  6 Rb 3.33
S  0.5000  0.5000  0.0000  6 Rb 3.33
S  0.5000  0.5000  0.5000  6 Rb 3.33
S  0.6250  0.3750  0.2500  4 Rb 3.14
S  0.6250  0.7500  0.3750  4 Rb 3.14
S  0.7500  0.3750  0.6250  4 Rb 3.14
S  0.7500  0.8750  0.1250  4 Rb 3.14
S  0.8750  0.1250  0.7500  4 Rb 3.14
S  0.8750  0.2500  0.1250  4 Rb 3.14

Record 3
VASP calculation (PBE) on CsRbS3 after structural relaxation.

Computed properties:
**Final energy**: -2.415 eV per atom
**M_tot**: 1.7 μB per formula unit
**Uncorrected formation energy**: 0.426 eV per atom

a b c (Å): 5.8191 5.8191 5.8191
angles (deg): 90.00 90.00 90.00
With the nearest neighbours (Å) after each atom.
Positions (direct):
Cs  0.0000  0.0000  0.0000  6 S 2.91
Rb  0.5000  0.5000  0.5000  12 S 4.11
S  0.0000  0.0000  0.5000  2 Cs 2.91
S  0.0000  0.5000  0.0000  2 Cs 2.91
S  0.5000  0.0000  0.0000  2 Cs 2.91

Record 4
VASP calculation (PBE) on Cs3RbS after structural relaxation.

Computed properties:
**Final energy**: -2.053 eV per atom
**M_tot**: 0.0 μB per formula unit
**Uncorrected formation energy**: -0.522 eV per atom

a b c (Å): 7.0460 7.0460 7.0460
angles (deg): 90.00 90.00 90.00
With the nearest neighbours (Å) after each atom.
Positions (direct):
Cs  0.0000  0.0000  0.5000  2 S 3.52
Cs  0.0000  0.5000  0.0000  2 S 3.52
Cs  0.5000  0.0000  0.0000  2 S 3.52
Rb  0.5000  0.5000  0.5000  12 Cs 4.98
S  0.0000  0.0000  0.0000  6 Cs 3.52

Record 5
VASP calculation (PBE) on Cs2Rb8S after structural relaxation.

Computed properties:
**Final energy**: -1.420 eV per atom
**M_tot**: 0.0 μB per formula unit
**Uncorrected formation energy**: -0.186 eV per atom

a b c (Å): 10.8372 10.8372 9.7556
angles (deg): 90.00 90.00 120.00
With the nearest neighbours (Å) after each atom.
Positions (direct):
Cs  0.3333  0.6667  0.0723  4 Rb 4.36-4.74
Cs  0.6667  0.3333  0.9277  4 Rb 4.36-4.74
Rb  0.1310  0.2621  0.7823  1 S 3.25
Rb  0.1310  0.8690  0.7823  1 S 3.25
Rb  0.2621  0.1310  0.2177  1 S 3.25
Rb  0.3333  0.6667  0.5188  1 Cs 4.36, 3 Rb 4.59
Rb  0.6667  0.3333  0.4812  1 Cs 4.36, 3 Rb 4.59
Rb  0.7379  0.8690  0.7823  1 S 3.25
Rb  0.8690  0.1310  0.2177  1 S 3.25
Rb  0.8690  0.7379  0.2177  1 S 3.25
S  0.0000  0.0000  0.0000  6 Rb 3.25

Record 6
VASP calculation (PBE) on Cs2Rb2S after structural relaxation.

Computed properties:
**Final energy**: -1.914 eV per atom
**M_tot**: 0.0 μB per formula unit
**Uncorrected formation energy**: -0.360 eV per atom

a b c (Å): 9.1111 9.1111 8.4012
angles (deg): 90.00 90.00 90.00
With the nearest neighbours (Å) after each atom.
Positions (direct):
Cs  0.1735  0.3265  0.0000  2 S 3.37
Cs  0.3265  0.8265  0.0000  2 S 3.37
Cs  0.6735  0.1735  0.0000  2 S 3.37
Cs  0.8265  0.6735  0.0000  2 S 3.37
Rb  0.1862  0.6862  0.5000  2 Cs 4.57, 5 Rb 4.70-4.80
Rb  0.3138  0.1862  0.5000  2 Cs 4.57, 5 Rb 4.70-4.80
Rb  0.6862  0.8138  0.5000  2 Cs 4.57, 5 Rb 4.70-4.80
Rb  0.8138  0.3138  0.5000  2 Cs 4.57, 5 Rb 4.70-4.80
S  0.0000  0.0000  0.0000  4 Cs 3.37
S  0.5000  0.5000  0.0000  4 Cs 3.37

- Among the records above, which one has the lowest final energy?
  CsRbS3

- The highest M_tot belongs to which entry?
  CsRbS3

- Which formula does entry 4 have?
  Cs3RbS